This record from Alexandria describes an optimized crystal structure of Sr2VIrO6. The functional is PBE with a Hubbard U.

* size of the total moment: 0.0 μB/cell
* VASP energy: -6.98 eV/atom

Geometry as CIF:
```
data_Sr2VIrO6
_cell_length_a 5.5881
_cell_length_b 5.5401
_cell_length_c 9.6328
_cell_angle_alpha 90.00
_cell_angle_beta 125.37
_cell_angle_gamma 90.00
_space_group_name_H-M_alt 'P 1 21/c 1'
_space_group_IT_number 14
loop_
_space_group_symop_operation_xyz
'x,y,z'
'-x,-y,-z'
'-x,y+1/2,-z+1/2'
'x,-y+1/2,z+1/2'
loop_
_atom_site_label
_atom_site_fract_x
_atom_site_fract_y
_atom_site_fract_z
Sr1 0.2481 0.0144 0.2503
V1 0.0000 0.0000 0.5000
Ir1 0.5000 0.0000 0.0000
O1 0.1952 0.2362 0.9739
O2 0.2361 0.7226 0.9742
O3 0.2923 0.0021 0.7422
```